Compound: La3Sn2Rh3
Source: Alexandria via LeMat-Bulk
Functional: PBE-GGA
Structure: optimized geometry

extended XYZ file:
```
16
Lattice="6.122 0.000 0.000 0.000 7.295 -4.212 0.000 0.000 8.423" Properties=species:S:1:pos:R:3 pbc="T T T"
La 4.591 1.999 -1.154
La 4.591 0.000 2.308
Rh 1.530 2.936 -1.695
La 4.591 5.296 3.058
Rh 4.591 4.359 -2.517
Sn 3.061 4.863 0.000
Sn 3.061 2.432 4.212
Sn 0.000 4.863 0.000
Rh 1.530 4.359 2.517
Rh 1.530 0.000 3.390
Sn 0.000 2.432 4.212
La 1.530 0.000 6.116
La 1.530 1.999 1.154
Rh 4.591 2.936 1.695
La 1.530 5.296 -3.058
Rh 4.591 0.000 5.033
```

Total magnetization = 1.92 μB/cell
Space group = P6_3/mcm, No. 193
Raw total energy = -101.26 eV per cell
Formation enthalpy at 0 K = -0.724 eV/atom